# 1
First-principles (PBE-GGA) data for a geometry-optimized PmGd3Fe structure, as listed in the Alexandria database.

Values from the calculation:
- ΔH_f (0 K) (eV per atom) = 0.1000
- total magnetic moment (μB per atom) = 4.46
- E_tot (eV per atom) = -10.991

a = 5.328 Å, b = 5.328 Å, c = 5.328 Å
α = 90.00°, β = 90.00°, γ = 90.00°
Fractional positions:
Pm (0.000, 0.000, 0.000)
Gd (0.000, 0.500, 0.500)
Gd (0.500, 0.000, 0.500)
Gd (0.500, 0.500, 0.000)
Fe (0.500, 0.500, 0.500)


# 2
First-principles (PBE-GGA) data for a geometry-optimized PrGd3Fe structure, as listed in the Alexandria database.

Values from the calculation:
- ΔH_f (0 K) (eV per atom) = 0.0924
- total magnetic moment (μB per atom) = 4.46
- E_tot (eV per atom) = -11.005

a = 5.346 Å, b = 5.346 Å, c = 5.346 Å
α = 90.00°, β = 90.00°, γ = 90.00°
Fractional positions:
Pr (0.000, 0.000, 0.000)
Gd (0.000, 0.500, 0.500)
Gd (0.500, 0.000, 0.500)
Gd (0.500, 0.500, 0.000)
Fe (0.500, 0.500, 0.500)


# 3
First-principles (PBE-GGA) data for a geometry-optimized PrGdFe structure, as listed in the Alexandria database.

Values from the calculation:
- ΔH_f (0 K) (eV per atom) = 0.1329
- total magnetic moment (μB per atom) = 2.04
- E_tot (eV per atom) = -8.975

a = 7.022 Å, b = 7.022 Å, c = 7.022 Å
α = 151.41°, β = 151.41°, γ = 40.88°
Fractional positions:
Pr (0.000, 0.000, 0.000)
Gd (0.747, 0.747, 0.000)
Fe (0.367, 0.367, 0.000)


# 4
First-principles (PBE-GGA) data for a geometry-optimized PrGd2Fe structure, as listed in the Alexandria database.

Values from the calculation:
- ΔH_f (0 K) (eV per atom) = 0.3349
- total magnetic moment (μB per atom) = 3.96
- polymorph energy (0 for the lowest one) (eV/f.u.) = 1.03
- E_tot (eV per atom) = -10.016

a = 10.835 Å, b = 10.835 Å, c = 10.835 Å
α = 18.79°, β = 18.79°, γ = 18.79°
Fractional positions:
Pr (0.000, 0.000, 0.000)
Gd (0.110, 0.110, 0.110)
Gd (0.890, 0.890, 0.890)
Fe (0.500, 0.500, 0.500)


# 5
First-principles (PBE-GGA) data for a geometry-optimized Pr3GdFe structure, as listed in the Alexandria database.

Values from the calculation:
- ΔH_f (0 K) (eV per atom) = 0.2078
- total magnetic moment (μB per atom) = 1.55
- E_tot (eV per atom) = -7.169

a = 5.444 Å, b = 5.444 Å, c = 5.444 Å
α = 90.00°, β = 90.00°, γ = 90.00°
Fractional positions:
Pr (0.000, 0.000, 0.500)
Pr (0.000, 0.500, 0.000)
Pr (0.500, 0.000, 0.000)
Gd (0.500, 0.500, 0.500)
Fe (0.000, 0.000, 0.000)


# 6
First-principles (PBE-GGA) data for a geometry-optimized PrGd2Fe structure, as listed in the Alexandria database.

Values from the calculation:
- ΔH_f (0 K) (eV per atom) = 0.0770
- total magnetic moment (μB per atom) = 3.23
- polymorph energy (0 for the lowest one) (eV/f.u.) = 0.00
- E_tot (eV per atom) = -10.274

a = 3.461 Å, b = 3.461 Å, c = 9.118 Å
α = 90.00°, β = 90.00°, γ = 90.00°
Fractional positions:
Pr (0.000, 0.000, 0.000)
Gd (0.500, 0.500, 0.320)
Gd (0.500, 0.500, 0.680)
Fe (0.000, 0.000, 0.500)